A plane-wave DFT calculation with PBE was carried out for an optimized crystal structure of ScNbSn2Pd2.

Cell: 4.438 8.919 6.296 Å, 90.00 90.00 90.00°
Fractional coordinates of all 12 atoms:
Sc 0.000 0.122 0.000
Sc 0.500 0.878 0.500
Nb 0.000 0.627 0.996
Nb 0.500 0.373 0.496
Sn 0.000 0.125 0.505
Sn 0.000 0.625 0.493
Sn 0.500 0.375 0.993
Sn 0.500 0.875 0.005
Pd 0.000 0.382 0.742
Pd 0.000 0.867 0.754
Pd 0.500 0.133 0.254
Pd 0.500 0.618 0.242

Its space group is Pmn2_1. The calculation puts the spin magnetization at 0.00 μB/f.u. The uncorrected energy comes out at -76.8 eV for the cell shown.

=====

A plane-wave DFT calculation with PBE was carried out for an optimized crystal structure of CuCl2.

Cell: 4.333 4.333 4.333 Å, 60.00 60.00 60.00°
Fractional coordinates of all 3 atoms:
Cu 0.000 0.000 0.000
Cl 0.250 0.250 0.250
Cl 0.750 0.750 0.750

Its space group is Fm-3m. The uncorrected energy comes out at -7.5 eV for the cell shown.

=====

A plane-wave DFT calculation with PBE was carried out for an optimized crystal structure of HfZn2Re.

Cell: 4.516 4.516 4.516 Å, 60.00 60.00 60.00°
Fractional coordinates of all 4 atoms:
Hf 0.000 0.000 0.000
Zn 0.250 0.250 0.250
Zn 0.500 0.500 0.500
Re 0.750 0.750 0.750

Its space group is F-43m. Its formation energy is 0.15 eV per atom. The calculation puts the spin magnetization at 0.00 μB/f.u.

=====

A plane-wave DFT calculation with PBE was carried out for an optimized crystal structure of TbErIn4Pd2.

Cell: 7.378 5.757 5.757 Å, 46.27 90.00 90.00°
Fractional coordinates of all 8 atoms:
Tb 0.000 0.000 0.000
Er 0.500 0.150 0.150
In 0.203 0.711 0.711
In 0.299 0.439 0.439
In 0.701 0.439 0.439
In 0.797 0.711 0.711
Pd 0.000 0.282 0.282
Pd 0.500 0.869 0.869

Its space group is Amm2. The calculation puts the spin magnetization at 0.03 μB/f.u. The uncorrected energy comes out at -35.6 eV for the cell shown.

=====

A plane-wave DFT calculation with PBE was carried out for an optimized crystal structure of LaGeAuSeS2.

Cell: 6.636 6.636 11.437 Å, 90.00 90.00 144.23°
Fractional coordinates of all 12 atoms:
La 0.000 0.000 0.000
La 0.000 0.000 0.500
Ge 0.247 0.753 0.750
Ge 0.753 0.247 0.250
Au 0.434 0.566 0.250
Au 0.566 0.434 0.750
Se 0.107 0.893 0.250
Se 0.893 0.107 0.750
S 0.353 0.647 0.062
S 0.353 0.647 0.438
S 0.647 0.353 0.562
S 0.647 0.353 0.938

Its space group is Cmcm. The calculation puts the spin magnetization at 0.00 μB/f.u. The uncorrected energy comes out at -58.8 eV for the cell shown.

=====

A plane-wave DFT calculation with PBE was carried out for an optimized crystal structure of SmS.

Cell: 4.004 4.004 4.004 Å, 60.00 60.00 60.00°
Fractional coordinates of all 2 atoms:
Sm 0.000 0.000 0.000
S 0.500 0.500 0.500

Its space group is Fm-3m. The relative energy among the computed polymorphs comes out at 1 meV/atom. The calculation puts the spin magnetization at 0.01 μB/f.u.

=====

A plane-wave DFT calculation with PBE was carried out for an optimized crystal structure of KHg3Te4Mo.

Cell: 7.631 7.631 7.631 Å, 90.00 90.00 90.00°
Fractional coordinates of all 9 atoms:
K 0.000 0.000 0.000
Hg 0.000 0.500 0.500
Hg 0.500 0.000 0.500
Hg 0.500 0.500 0.000
Te 0.305 0.305 0.305
Te 0.305 0.695 0.695
Te 0.695 0.305 0.695
Te 0.695 0.695 0.305
Mo 0.500 0.500 0.500

Its space group is P-43m. The calculation puts the spin magnetization at 0.01 μB/f.u. The uncorrected energy comes out at -25.8 eV for the cell shown.

=====

A plane-wave DFT calculation with PBE was carried out for an optimized crystal structure of Tb2HoSi5.

Cell: 4.197 6.570 6.570 Å, 119.78 90.00 90.00°
Fractional coordinates of all 8 atoms:
Tb 0.000 0.177 0.823
Tb 0.000 0.823 0.177
Ho 0.000 0.530 0.530
Si 0.500 0.179 0.444
Si 0.500 0.444 0.179
Si 0.500 0.510 0.843
Si 0.500 0.843 0.510
Si 0.500 0.907 0.907

Its space group is Amm2. The calculation puts the spin magnetization at 0.00 μB/f.u. The uncorrected energy comes out at -46.4 eV for the cell shown.

=====

A plane-wave DFT calculation with PBE was carried out for an optimized crystal structure of Sc2TaGa.

Cell: 4.764 4.764 4.764 Å, 60.00 60.00 60.00°
Fractional coordinates of all 4 atoms:
Sc 0.000 0.000 0.000
Sc 0.250 0.250 0.250
Ta 0.750 0.750 0.750
Ga 0.500 0.500 0.500

Its space group is F-43m. The calculation puts the spin magnetization at 0.02 μB/f.u. The uncorrected energy comes out at -27.4 eV for the cell shown.

=====

A plane-wave DFT calculation with PBE was carried out for an optimized crystal structure of SmScZn.

Cell: 4.847 4.847 4.847 Å, 60.00 60.00 60.00°
Fractional coordinates of all 3 atoms:
Sm 0.000 0.000 0.000
Sc 0.750 0.750 0.750
Zn 0.250 0.250 0.250

Its space group is F-43m. Its formation energy is 0.59 eV per atom. The relative energy among the computed polymorphs comes out at 549 meV/atom. The calculation puts the spin magnetization at 0.01 μB/f.u.

=====

A plane-wave DFT calculation with PBE was carried out for an optimized crystal structure of NbAlNO.

Cell: 3.989 3.989 5.397 Å, 90.00 90.00 90.00°
Fractional coordinates of all 8 atoms:
Nb 0.250 0.750 0.000
Nb 0.750 0.250 0.000
Al 0.250 0.250 0.485
Al 0.750 0.750 0.515
N 0.250 0.250 0.843
N 0.750 0.750 0.157
O 0.250 0.750 0.500
O 0.750 0.250 0.500

Its space group is P4/nmm. The relative energy among the computed polymorphs comes out at 216 meV/atom. The calculation puts the spin magnetization at 0.00 μB/f.u.

=====

A plane-wave DFT calculation with PBE was carried out for an optimized crystal structure of ZnBiTe.

Cell: 5.197 5.197 5.197 Å, 60.00 60.00 60.00°
Fractional coordinates of all 3 atoms:
Zn 0.000 0.000 0.000
Bi 0.750 0.750 0.750
Te 0.500 0.500 0.500

Its space group is F-43m. The uncorrected energy comes out at -7.6 eV for the cell shown.